--- A ---
CeDy2Ru: optimized geometry, GGA-PBE.

Calculated values
Crystal system: tetragonal
M_tot (μB per formula unit): 1.4
Fermi-level density of states (states/eV per cell): 7.45

abc: 3.4111 3.4111 8.9926
angles: 90.00 90.00 90.00
Each line ends with the local moment (μB).
Fractional positions:
Ru1 0.5000 0.5000 0.0000  0.02
Ce1 0.5000 0.5000 0.5000  0.96
Dy1 0.0000 0.0000 0.8165  0.06
Dy2 0.0000 0.0000 0.1835  0.06

--- B ---
CeDy2Ru: optimized geometry, GGA-PBE.

Calculated values
Crystal system: monoclinic
M_tot (μB per formula unit): 0.2
Fermi-level density of states (states/eV per cell): 13.56

abc: 3.7819 6.2686 9.4981
angles: 90.00 90.00 107.56
Each line ends with the local moment (μB).
Fractional positions:
Ce1 0.4170 0.8348 0.2500  0.15
Ce2 0.5830 0.1652 0.7500  0.15
Dy1 0.1425 0.2846 0.4309  0.03
Dy2 0.8575 0.7154 0.5691  0.03
Dy3 0.8575 0.7154 0.9309  0.03
Dy4 0.1425 0.2846 0.0691  0.03
Ru1 0.7695 0.5390 0.2500  -0.01
Ru2 0.2305 0.4610 0.7500  -0.01

Tell me which of them is the most stable. Sure, it is B.